Record 1
Y3AlSe6 (GGA-PBE, optimized geometry); M_tot = 0.00 μB/f.u.; D(E_F) = 0.0 states/eV/cell; formation energy without anion corrections = -1.625 eV/atom
1.0
-3.635 -2.584 -5.089
6.970 1.068 -5.521
1.338 -8.244 3.231
Y Se Al
6 12 2
Direct
0.985 0.718 0.915 Y
0.485 0.915 0.718 Y
0.985 0.085 0.282 Y
0.485 0.282 0.085 Y
0.886 0.597 0.403 Y
0.386 0.403 0.597 Y
0.184 0.696 0.630 Se
0.166 0.041 0.959 Se
0.701 0.899 0.434 Se
0.701 0.566 0.101 Se
0.666 0.959 0.041 Se
0.684 0.630 0.696 Se
0.201 0.101 0.566 Se
0.670 0.218 0.782 Se
0.201 0.434 0.899 Se
0.170 0.782 0.218 Se
0.184 0.370 0.304 Se
0.684 0.304 0.370 Se
0.024 0.202 0.798 Al
0.524 0.798 0.202 Al


Record 2
ScCdAu2 (GGA-PBE, optimized geometry); uncorrected energy = -3.9314 eV per atom; M_tot = 0.00 μB/f.u.; D(E_F) = 2.3 states/eV/cell
1.0
4.436 0.000 0.000
0.000 3.393 -0.003
0.000 1.685 5.412
Au Cd Sc
2 1 1
Direct
0.000 0.208 0.958 Au
0.500 0.047 0.283 Au
0.000 0.469 0.440 Cd
0.500 0.777 0.819 Sc


Record 3
NaPmHo4Se8 (GGA-PBE, optimized geometry); M_tot = 0.00 μB/f.u.; D(E_F) = 0.0 states/eV/cell; formation energy without anion corrections = -1.762 eV/atom
1.0
8.432 0.000 0.000
4.216 7.302 0.000
4.216 2.434 6.985
Ho Se Na Pm
4 8 1 1
Direct
0.626 0.626 0.122 Ho
0.005 0.005 0.505 Ho
0.005 0.485 0.505 Ho
0.485 0.005 0.505 Ho
0.245 0.245 0.732 Se
0.245 0.778 0.732 Se
0.754 0.229 0.264 Se
0.778 0.245 0.732 Se
0.229 0.754 0.264 Se
0.239 0.239 0.282 Se
0.758 0.758 0.725 Se
0.754 0.754 0.264 Se
0.373 0.373 0.881 Na
0.005 0.005 0.986 Pm


Record 4
La2TbTe2S2 (GGA-PBE, optimized geometry); M_tot = 0.43 μB/f.u.; D(E_F) = 3.3 states/eV/cell; formation energy without anion corrections = -1.654 eV/atom
1.0
5.121 0.000 0.000
0.000 5.121 0.000
-2.560 -2.560 8.143
La Te Tb S
2 2 1 2
Direct
0.384 0.384 0.767 La
0.616 0.616 0.233 La
0.185 0.185 0.370 Te
0.815 0.815 0.630 Te
0.000 0.000 0.000 Tb
0.000 0.500 0.000 S
0.500 0.000 0.000 S


Record 5
Cs2NiSCl6 (GGA-PBE, optimized geometry); M_tot = 0.00 μB/f.u.; D(E_F) = 3.6 states/eV/cell; formation energy without anion corrections = -0.934 eV/atom
1.0
6.918 0.000 0.000
0.000 6.918 0.000
3.459 3.459 5.764
Cl S Ni Cs
6 1 1 2
Direct
0.253 0.253 0.000 Cl
0.747 0.747 0.000 Cl
0.253 0.747 0.000 Cl
0.747 0.253 0.000 Cl
0.191 0.191 0.617 Cl
0.809 0.809 0.383 Cl
0.500 0.500 0.000 S
0.000 0.000 0.000 Ni
0.250 0.750 0.500 Cs
0.750 0.250 0.500 Cs


Record 6
AcTl2Cl3F3 (GGA-PBE, optimized geometry); M_tot = 0.00 μB/f.u.; D(E_F) = 3.7 states/eV/cell; formation energy without anion corrections = -2.230 eV/atom
1.0
-3.294 -2.022 0.587
2.932 -5.920 -3.937
1.068 0.469 7.602
Tl F Cl Ac
2 3 3 1
Direct
0.500 0.333 0.667 Tl
0.500 0.667 0.333 Tl
0.500 0.790 0.000 F
0.500 0.000 0.790 F
0.500 0.210 0.210 F
0.000 0.580 0.580 Cl
0.000 0.000 0.420 Cl
0.000 0.420 0.000 Cl
0.000 0.000 0.000 Ac


Record 7
Ac3CuPd3 (GGA-PBE, optimized geometry); excess energy over the best structure of this formula in the dataset = 0 meV/atom; M_tot = 0.00 μB/f.u.; D(E_F) = 4.0 states/eV/cell
1.0
4.329 0.000 -0.944
-0.207 4.093 -0.951
0.016 0.270 10.467
Pd Cu Ac
3 1 3
Direct
0.561 0.561 0.123 Pd
0.854 0.354 0.707 Pd
0.154 0.654 0.308 Pd
0.434 0.434 0.867 Cu
0.001 0.001 0.002 Ac
0.679 0.179 0.358 Ac
0.318 0.818 0.636 Ac


Record 8
Sn2Te2F (GGA-PBE, optimized geometry); excess energy over the best structure of this formula in the dataset = 111 meV/atom; M_tot = 0.00 μB/f.u.; D(E_F) = 2.3 states/eV/cell; formation energy without anion corrections = -0.300 eV/atom
1.0
-4.937 2.229 0.324
-1.932 -4.592 2.152
-2.164 0.840 6.692
Te Sn F
2 2 1
Direct
0.642 0.642 0.716 Te
0.358 0.358 0.284 Te
0.250 0.750 0.500 Sn
0.750 0.250 0.500 Sn
0.000 0.000 0.000 F